Record 1
The following is a DFT calculation (GGA-PBE) of a geometry-optimized Nd6InGa2 structure.

Lattice parameters (Å, degrees): 8.952 8.952 8.952 112.06 111.46 104.99
Fractional positions:
Nd1 0.038 0.240 0.798
Nd2 0.183 0.280 0.463
Nd3 0.183 0.720 0.903
Nd4 0.322 0.029 0.707
Nd5 0.322 0.616 0.293
Nd6 0.442 0.240 0.202
Nd7 0.558 0.760 0.798
Nd8 0.678 0.384 0.707
Nd9 0.678 0.971 0.293
Nd10 0.817 0.280 0.097
Nd11 0.817 0.720 0.537
Nd12 0.962 0.760 0.202
In1 0.000 0.000 0.000
In2 0.500 0.500 0.000
Ga1 0.120 0.620 0.500
Ga2 0.357 0.000 0.357
Ga3 0.643 0.000 0.643
Ga4 0.880 0.380 0.500

The symmetry is Immm, No. 71. The value obtained for the total magnetization is 0.0000 μB/atom. Its density of states at the Fermi level is 17.3 states/eV/cell. The formation enthalpy at 0 K is -379 meV per atom.


Record 2
The following is a DFT calculation (GGA-PBE) of a geometry-optimized Ca3MgCu structure.

Lattice parameters (Å, degrees): 8.023 8.023 5.768 90.00 90.00 120.00
Fractional positions:
Ca1 0.180 0.360 0.250
Ca2 0.180 0.820 0.250
Ca3 0.360 0.180 0.750
Ca4 0.640 0.820 0.250
Ca5 0.820 0.180 0.750
Ca6 0.820 0.640 0.750
Mg1 0.333 0.667 0.750
Mg2 0.667 0.333 0.250
Cu1 0.000 0.000 0.000
Cu2 0.000 0.000 0.500

For the energy above the most stable polymorph in this dataset, the calculation gives 5.07 kJ per mole of atoms. The symmetry is P6_3/mmc, No. 194. The value obtained for the total magnetization is 0.0000 μB/atom. Its density of states at the Fermi level is 7.9 states/eV/cell. The formation enthalpy at 0 K is -1 meV per atom.


Record 3
The following is a DFT calculation (GGA-PBE) of a geometry-optimized BaCr4Re structure.

Lattice parameters (Å, degrees): 5.075 5.075 5.075 60.00 60.00 60.00
Fractional positions:
Ba1 0.000 0.000 0.000
Cr1 0.130 0.623 0.623
Cr2 0.623 0.130 0.623
Cr3 0.623 0.623 0.130
Cr4 0.623 0.623 0.623
Re1 0.250 0.250 0.250

The symmetry is F-43m, No. 216. The value obtained for the total magnetization is 0.0000 μB/atom. Its density of states at the Fermi level is 7.4 states/eV/cell. The formation enthalpy at 0 K is 1087 meV per atom.